(1)
CaCd2Ag2: relaxed, PBE-GGA.

POSCAR file:
```
CaCd2Ag2
1.0
-2.473 3.287 3.505
2.473 -3.287 3.505
2.473 3.287 -3.505
Ca Cd Ag
1 2 2
Direct
0.000 0.000 0.000
0.301 0.801 0.500
0.699 0.199 0.500
0.293 0.500 0.793
0.707 0.500 0.207
```

Formation energy ... -0.21 eV/atom
Distance to the lowest polymorph of the same formula ... 0.000 eV/atom

***

(2)
Ca4CdAg: relaxed, PBE-GGA.

POSCAR file:
```
Ca4CdAg
1.0
3.763 -3.763 0.000
3.763 3.763 0.000
-0.008 0.000 7.494
Ca Cd Ag
4 1 1
Direct
0.000 0.500 0.245
0.000 0.500 0.755
0.500 0.000 0.245
0.500 0.000 0.755
0.000 0.000 0.500
0.500 0.500 0.000
```

Formation energy ... -0.12 eV/atom
Distance to the lowest polymorph of the same formula ... 0.113 eV/atom

***

(3)
CaCdAg2: relaxed, PBE-GGA.

POSCAR file:
```
CaCdAg2
1.0
-1.663 2.569 5.818
1.663 -2.569 5.818
1.663 2.569 -5.818
Ca Cd Ag
1 1 2
Direct
0.000 0.000 0.000
0.500 0.500 0.000
0.262 0.262 0.000
0.738 0.738 0.000
```

Formation energy ... 0.14 eV/atom

***

(4)
CaCdAg3: relaxed, PBE-GGA.

POSCAR file:
```
CaCdAg3
1.0
5.497 0.000 0.000
0.000 5.497 0.000
0.000 0.000 5.497
Ca Cd Ag
1 1 3
Direct
0.000 0.000 0.000
0.500 0.500 0.500
0.000 0.000 0.500
0.000 0.500 0.000
0.500 0.000 0.000
```

Formation energy ... 0.76 eV/atom
Distance to the lowest polymorph of the same formula ... 0.921 eV/atom

***

(5)
Ca3Cd7Ag2: relaxed, PBE-GGA.

POSCAR file:
```
Ca3Cd7Ag2
1.0
2.962 1.710 9.626
-2.962 1.710 9.626
0.000 -3.421 9.626
Ca Cd Ag
3 7 2
Direct
0.000 0.000 0.000
0.144 0.144 0.144
0.856 0.856 0.856
0.078 0.584 0.584
0.416 0.416 0.922
0.416 0.922 0.416
0.500 0.500 0.500
0.584 0.078 0.584
0.584 0.584 0.078
0.922 0.416 0.416
0.334 0.334 0.334
0.666 0.666 0.666
```

Formation energy ... -0.26 eV/atom

***

(6)
Ca2CdAg3: relaxed, PBE-GGA.

POSCAR file:
```
Ca2CdAg3
1.0
0.000 4.860 8.361
3.618 0.000 8.361
3.618 4.860 0.000
Ca Cd Ag
4 2 6
Direct
0.247 0.753 0.753
0.250 0.250 0.250
0.750 0.750 0.750
0.753 0.247 0.247
0.333 0.333 0.667
0.667 0.667 0.333
0.166 0.166 0.834
0.166 0.667 0.333
0.333 0.834 0.166
0.667 0.166 0.834
0.834 0.333 0.667
0.834 0.834 0.166
```

Formation energy ... -0.28 eV/atom
Distance to the lowest polymorph of the same formula ... 0.022 eV/atom

***

(7)
Ca2CdAg: relaxed, PBE-GGA.

POSCAR file:
```
Ca2CdAg
1.0
3.537 -2.037 0.000
3.537 2.037 0.000
-2.349 0.000 8.547
Ca Cd Ag
2 1 1
Direct
0.243 0.243 0.228
0.757 0.757 0.772
0.000 0.000 0.500
0.500 0.500 0.000
```

Formation energy ... -0.16 eV/atom

***

(8)
Ca6CdAg2: relaxed, PBE-GGA.

POSCAR file:
```
Ca6CdAg2
1.0
-4.982 5.107 5.648
4.982 -5.107 5.648
4.982 5.107 -5.648
Ca Cd Ag
12 2 4
Direct
0.047 0.242 0.805
0.183 0.284 0.467
0.183 0.716 0.899
0.331 0.033 0.701
0.331 0.630 0.299
0.437 0.242 0.195
0.563 0.758 0.805
0.669 0.370 0.701
0.669 0.967 0.299
0.817 0.284 0.101
0.817 0.716 0.533
0.953 0.758 0.195
0.000 0.000 0.000
0.500 0.500 0.000
0.128 0.628 0.500
0.345 0.000 0.345
0.655 0.000 0.655
0.872 0.372 0.500
```

Formation energy ... -0.24 eV/atom

***

(9)
Ca2CdAg: relaxed, PBE-GGA.

POSCAR file:
```
Ca2CdAg
1.0
-4.179 4.179 3.491
4.179 -4.179 3.491
4.179 4.179 -3.491
Ca Cd Ag
4 2 2
Direct
0.105 0.625 0.980
0.375 0.355 0.480
0.645 0.125 0.020
0.875 0.895 0.520
0.250 0.750 0.500
0.500 0.500 0.000
0.000 0.000 0.000
0.750 0.250 0.500
```

Formation energy ... -0.05 eV/atom

***

(10)
CaCd2Ag2: relaxed, PBE-GGA.

POSCAR file:
```
CaCd2Ag2
1.0
8.301 0.000 0.000
0.000 8.301 0.000
0.000 0.000 3.221
Ca Cd Ag
2 4 4
Direct
0.000 0.000 0.000
0.500 0.500 0.000
0.126 0.374 0.000
0.374 0.874 0.000
0.626 0.126 0.000
0.874 0.626 0.000
0.173 0.673 0.500
0.327 0.173 0.500
0.673 0.827 0.500
0.827 0.327 0.500
```

Formation energy ... -0.14 eV/atom
Distance to the lowest polymorph of the same formula ... 0.062 eV/atom

***

(11)
Ca6Cd5Ag: relaxed, PBE-GGA.

POSCAR file:
```
Ca6Cd5Ag
1.0
5.456 0.000 0.000
0.000 7.504 0.000
-2.692 0.000 8.159
Ca Cd Ag
6 5 1
Direct
0.000 0.245 0.000
0.000 0.755 0.000
0.337 0.248 0.672
0.337 0.752 0.672
0.663 0.248 0.328
0.663 0.752 0.328
0.164 0.500 0.333
0.169 0.000 0.341
0.500 0.500 0.000
0.831 0.000 0.659
0.836 0.500 0.667
0.500 0.000 0.000
```

Formation energy ... -0.35 eV/atom

***

(12)
Ca8Cd2Ag: relaxed, PBE-GGA.

POSCAR file:
```
Ca8Cd2Ag
1.0
9.516 -2.729 0.000
9.516 2.729 0.000
-2.266 0.000 7.117
Ca Cd Ag
8 2 1
Direct
0.026 0.026 0.285
0.204 0.204 0.803
0.339 0.339 0.538
0.405 0.405 0.055
0.595 0.595 0.945
0.661 0.661 0.462
0.796 0.796 0.197
0.974 0.974 0.715
0.183 0.183 0.211
0.817 0.817 0.789
0.500 0.500 0.500
```

Formation energy ... -0.18 eV/atom

***

(13)
CaCdAg3: relaxed, PBE-GGA.

POSCAR file:
```
CaCdAg3
1.0
5.186 0.000 0.000
0.000 5.186 0.000
0.000 0.000 5.186
Ca Cd Ag
1 1 3
Direct
0.000 0.000 0.000
0.500 0.500 0.500
0.000 0.500 0.500
0.500 0.000 0.500
0.500 0.500 0.000
```

Formation energy ... 0.20 eV/atom
Distance to the lowest polymorph of the same formula ... 0.357 eV/atom

***

(14)
CaCd6Ag4: relaxed, PBE-GGA.

POSCAR file:
```
CaCd6Ag4
1.0
8.096 0.000 0.000
-4.048 7.011 0.000
0.000 0.000 4.398
Ca Cd Ag
1 6 4
Direct
0.000 0.000 0.000
0.198 0.397 0.500
0.198 0.802 0.500
0.534 0.067 0.000
0.534 0.466 0.000
0.603 0.802 0.500
0.933 0.466 0.000
0.333 0.667 0.000
0.404 0.202 0.500
0.798 0.202 0.500
0.798 0.596 0.500
```

Formation energy ... -0.09 eV/atom
Distance to the lowest polymorph of the same formula ... 0.000 eV/atom

***

(15)
Ca2Cd6Ag: relaxed, PBE-GGA.

POSCAR file:
```
Ca2Cd6Ag
1.0
5.488 -3.185 0.000
5.488 3.185 0.000
-0.058 0.000 6.395
Ca Cd Ag
2 6 1
Direct
0.167 0.167 0.352
0.833 0.833 0.648
0.146 0.677 0.173
0.323 0.854 0.827
0.324 0.324 0.824
0.676 0.676 0.176
0.677 0.146 0.173
0.854 0.323 0.827
0.500 0.500 0.500
```

Formation energy ... -0.23 eV/atom

***

(16)
Ca2CdAg2: relaxed, PBE-GGA.

POSCAR file:
```
Ca2CdAg2
1.0
8.570 0.000 0.000
0.000 8.570 0.000
0.000 0.000 3.719
Ca Cd Ag
4 2 4
Direct
0.166 0.334 0.000
0.334 0.834 0.000
0.666 0.166 0.000
0.834 0.666 0.000
0.000 0.000 0.000
0.500 0.500 0.000
0.125 0.625 0.500
0.375 0.125 0.500
0.625 0.875 0.500
0.875 0.375 0.500
```

Formation energy ... -0.14 eV/atom
Distance to the lowest polymorph of the same formula ... 0.181 eV/atom

***

(17)
Ca12CdAg5: relaxed, PBE-GGA.

POSCAR file:
```
Ca12CdAg5
1.0
-4.985 5.077 5.628
4.985 -5.077 5.628
4.985 5.077 -5.628
Ca Cd Ag
12 1 5
Direct
0.050 0.242 0.808
0.181 0.281 0.462
0.181 0.719 0.900
0.333 0.032 0.699
0.333 0.634 0.301
0.434 0.242 0.192
0.566 0.758 0.808
0.667 0.366 0.699
0.667 0.968 0.301
0.819 0.281 0.100
0.819 0.719 0.538
0.950 0.758 0.192
0.500 0.500 0.000
0.000 0.000 0.000
0.127 0.627 0.500
0.340 0.000 0.340
0.660 0.000 0.660
0.873 0.373 0.500
```

Formation energy ... -0.23 eV/atom

***

(18)
CaCd3Ag: relaxed, PBE-GGA.

POSCAR file:
```
CaCd3Ag
1.0
4.189 -3.481 0.000
4.189 3.481 0.000
-2.955 0.000 4.063
Ca Cd Ag
1 3 1
Direct
0.000 0.000 0.000
0.306 0.708 0.507
0.311 0.311 0.810
0.708 0.306 0.507
0.716 0.716 0.218
```

Formation energy ... -0.21 eV/atom
Distance to the lowest polymorph of the same formula ... 0.008 eV/atom

***

(19)
CaCd2Ag2: relaxed, PBE-GGA.

POSCAR file:
```
CaCd2Ag2
1.0
-2.144 2.144 6.550
2.144 -2.144 6.550
2.144 2.144 -6.550
Ca Cd Ag
1 2 2
Direct
0.000 0.000 0.000
0.250 0.750 0.500
0.750 0.250 0.500
0.397 0.397 0.000
0.603 0.603 0.000
```

Formation energy ... -0.19 eV/atom
Distance to the lowest polymorph of the same formula ... 0.011 eV/atom

***

(20)
CaCd2Ag2: relaxed, PBE-GGA.

POSCAR file:
```
CaCd2Ag2
1.0
8.115 0.000 0.000
0.000 8.115 0.000
0.000 0.000 3.390
Ca Cd Ag
2 4 4
Direct
0.000 0.000 0.000
0.500 0.500 0.000
0.166 0.334 0.500
0.334 0.834 0.500
0.666 0.166 0.500
0.834 0.666 0.500
0.130 0.630 0.000
0.370 0.130 0.000
0.630 0.870 0.000
0.870 0.370 0.000
```

Formation energy ... -0.16 eV/atom
Distance to the lowest polymorph of the same formula ... 0.050 eV/atom

***

(21)
Ca3Cd2Ag: relaxed, PBE-GGA.

POSCAR file:
```
Ca3Cd2Ag
1.0
3.761 0.000 0.000
0.000 3.761 0.000
0.000 0.000 11.592
Ca Cd Ag
3 2 1
Direct
0.000 0.000 0.000
0.000 0.000 0.341
0.000 0.000 0.659
0.500 0.500 0.170
0.500 0.500 0.830
0.500 0.500 0.500
```

Formation energy ... -0.34 eV/atom
Distance to the lowest polymorph of the same formula ... 0.000 eV/atom

***

(22)
Ca2Cd5Ag4: relaxed, PBE-GGA.

POSCAR file:
```
Ca2Cd5Ag4
1.0
-2.880 4.478 4.904
2.880 -4.478 4.904
2.880 4.478 -4.904
Ca Cd Ag
2 5 4
Direct
0.213 0.213 0.000
0.787 0.787 0.000
0.000 0.500 0.500
0.314 0.249 0.563
0.314 0.751 0.064
0.686 0.249 0.936
0.686 0.751 0.437
0.077 0.744 0.333
0.410 0.744 0.667
0.590 0.256 0.333
0.923 0.256 0.667
```

Formation energy ... -0.21 eV/atom

***

(23)
Ca5CdAg6: relaxed, PBE-GGA.

POSCAR file:
```
Ca5CdAg6
1.0
4.465 -7.739 0.000
4.465 7.739 0.000
-3.017 0.000 4.251
Ca Cd Ag
5 1 6
Direct
0.000 0.000 0.000
0.169 0.831 0.500
0.337 0.663 0.000
0.663 0.337 0.000
0.831 0.169 0.500
0.500 0.500 0.500
0.093 0.418 0.255
0.249 0.249 0.748
0.418 0.093 0.255
0.582 0.907 0.745
0.751 0.751 0.252
0.907 0.582 0.745
```

Formation energy ... -0.27 eV/atom